The following is a DFT calculation (PBE) of crystalline LiRePIr2 at its relaxed geometry.

Computed properties:
Total moment: 0.0 μB/f.u.
SG: P4/mmm (123)
Fermi-level density of states: 0.71 states/eV per atom
Uncorrected energy: -6.377 eV/atom

a = 4.088 Å, b = 4.096 Å, c = 4.088 Å
α = 90.00°, β = 90.00°, γ = 90.00°
Atoms (fractional coordinates):
1 Ir 0.000 0.000 0.500
2 Re 0.500 0.500 0.500
3 P 0.000 0.500 0.000
4 Li 0.000 0.000 0.000
5 Ir 0.500 0.000 0.000